Record 1
# Na2Ca3 (PBE, relaxed)
# * energy above the lowest structure with this stoichiometry: 51 meV per atom
# * formation energy: 0.08 eV/atom
# * E_tot: -49.4 eV per cell
# * spin magnetization: 0.000 μB per formula unit
data_Na2Ca3
_chemical_formula_sum 'Na12 Ca18'
_cell_length_a 10.6062
_cell_length_b 10.6062
_cell_length_c 12.1125
_cell_angle_alpha 90.00
_cell_angle_beta 90.00
_cell_angle_gamma 120.00
_symmetry_space_group_name_H-M 'R -3 c'
_symmetry_Int_Tables_number 167
_symmetry_space_group_name_Hall '-R 3 2"c'
loop_
_atom_site_label
_atom_site_fract_x
_atom_site_fract_y
_atom_site_fract_z
Na1 0.0000 0.0000 0.1245
Ca1 0.0000 0.3293 0.2500

---

Record 2
# Sm3NpN6 (PBE, relaxed)
# * formation energy (no corrections): -1.00 eV per atom
# * E_tot: -522.6 eV per cell
# * spin magnetization: 0.021 μB per formula unit
data_Sm3NpN6
_chemical_formula_sum 'Sm18 Np6 N36'
_cell_length_a 9.8590
_cell_length_b 9.8590
_cell_length_c 11.6187
_cell_angle_alpha 90.00
_cell_angle_beta 90.00
_cell_angle_gamma 120.00
_symmetry_space_group_name_H-M 'R -3'
_symmetry_Int_Tables_number 148
_symmetry_space_group_name_Hall '-R 3'
loop_
_atom_site_label
_atom_site_fract_x
_atom_site_fract_y
_atom_site_fract_z
Sm1 0.0365 0.2662 0.2122
Np1 0.0000 0.0000 0.0000
Np2 0.0000 0.0000 0.5000
N1 0.0256 0.1746 0.8863
N2 0.0310 0.1992 0.4105

---

Record 3
# Li2Cd2I (PBE, relaxed)
# * formation energy (no corrections): -0.24 eV per atom
# * E_tot: -16.9 eV per cell
# * spin magnetization: 0.000 μB per formula unit
data_Li2Cd2I
_chemical_formula_sum 'Li4 Cd4 I2'
_cell_length_a 7.7272
_cell_length_b 7.7272
_cell_length_c 4.3136
_cell_angle_alpha 90.00
_cell_angle_beta 90.00
_cell_angle_gamma 90.00
_symmetry_space_group_name_H-M 'P 4/m b m'
_symmetry_Int_Tables_number 127
_symmetry_space_group_name_Hall '-P 4 2ab'
loop_
_atom_site_label
_atom_site_fract_x
_atom_site_fract_y
_atom_site_fract_z
Li1 0.1624 0.3376 0.0000
Cd1 0.1397 0.6397 0.5000
I1 0.0000 0.0000 0.0000

---

Record 4
# Cs3Ce2HoSe6 (PBE, relaxed)
# * formation energy (no corrections): -1.68 eV per atom
# * E_tot: -120.2 eV per cell
# * spin magnetization: 2.015 μB per formula unit
data_Cs3Ce2HoSe6
_chemical_formula_sum 'Cs6 Ce4 Ho2 Se12'
_cell_length_a 7.5874
_cell_length_b 13.1413
_cell_length_c 8.7399
_cell_angle_alpha 90.00
_cell_angle_beta 106.82
_cell_angle_gamma 90.00
_symmetry_space_group_name_H-M 'C 1 2/m 1'
_symmetry_Int_Tables_number 12
loop_
_symmetry_equiv_pos_as_xyz
'x,y,z'
'-x,-y,-z'
'-x,y,-z'
'x,-y,z'
'x+1/2,y+1/2,z'
'-x+1/2,-y+1/2,-z'
'-x+1/2,y+1/2,-z'
'x+1/2,-y+1/2,z'
loop_
_atom_site_label
_atom_site_fract_x
_atom_site_fract_y
_atom_site_fract_z
Cs1 0.0000 0.0000 0.0000
Cs2 0.0000 0.3322 0.0000
Ce1 0.0000 0.1666 0.5000
Ho1 0.0000 0.5000 0.5000
Se1 0.2245 0.3379 0.6872
Se2 0.2385 0.0000 0.6878

---

Record 5
# CdSi2Br (PBE, relaxed)
# * energy above the lowest structure with this stoichiometry: 578 meV per atom
# * formation energy (no corrections): 0.60 eV per atom
# * E_tot: -11.0 eV per cell
# * spin magnetization: 0.000 μB per formula unit
data_CdSi2Br
_chemical_formula_sum 'Cd1 Si2 Br1'
_cell_length_a 3.2250
_cell_length_b 3.2250
_cell_length_c 7.9964
_cell_angle_alpha 90.00
_cell_angle_beta 90.00
_cell_angle_gamma 90.00
_symmetry_space_group_name_H-M 'P 4/m m m'
_symmetry_Int_Tables_number 123
_symmetry_space_group_name_Hall '-P 4 2'
loop_
_atom_site_label
_atom_site_fract_x
_atom_site_fract_y
_atom_site_fract_z
Cd1 0.0000 0.0000 0.0000
Si1 0.5000 0.5000 0.2432
Br1 0.0000 0.0000 0.5000

---

Record 6
# Nd3GaNi3 (PBE, relaxed)
# * energy above the lowest structure with this stoichiometry: 266 meV per atom
# * formation energy: -0.16 eV/atom
# * E_tot: -71.6 eV per cell
# * spin magnetization: 0.000 μB per formula unit
data_Nd3GaNi3
_chemical_formula_sum 'Nd6 Ga2 Ni6'
_cell_length_a 8.4378
_cell_length_b 8.4378
_cell_length_c 5.5741
_cell_angle_alpha 90.00
_cell_angle_beta 90.00
_cell_angle_gamma 120.00
_symmetry_space_group_name_H-M 'P 63/m'
_symmetry_Int_Tables_number 176
_symmetry_space_group_name_Hall '-P 6c'
loop_
_atom_site_label
_atom_site_fract_x
_atom_site_fract_y
_atom_site_fract_z
Nd1 0.0532 0.6979 0.2500
Ga1 0.3333 0.6667 0.7500
Ni1 0.0585 0.6818 0.7500

---

Record 7
# NaEr4Se5 (PBE, relaxed)
# * formation energy (no corrections): -1.70 eV per atom
# * E_tot: -108.0 eV per cell
# * spin magnetization: 0.000 μB per formula unit
data_NaEr4Se5
_chemical_formula_sum 'Na2 Er8 Se10'
_cell_length_a 13.5611
_cell_length_b 4.0355
_cell_length_c 9.9893
_cell_angle_alpha 90.00
_cell_angle_beta 119.74
_cell_angle_gamma 90.00
_symmetry_space_group_name_H-M 'C 1 2/m 1'
_symmetry_Int_Tables_number 12
loop_
_symmetry_equiv_pos_as_xyz
'x,y,z'
'-x,-y,-z'
'-x,y,-z'
'x,-y,z'
'x+1/2,y+1/2,z'
'-x+1/2,-y+1/2,-z'
'-x+1/2,y+1/2,-z'
'x+1/2,-y+1/2,z'
loop_
_atom_site_label
_atom_site_fract_x
_atom_site_fract_y
_atom_site_fract_z
Na1 0.0000 0.0000 0.0000
Er1 0.0969 0.5000 0.4035
Er2 0.1982 0.0000 0.7927
Se1 0.0000 0.0000 0.5000
Se2 0.1054 0.5000 0.8994
Se3 0.1981 0.0000 0.3024

---

Record 8
# Pm6Sn6Pb (PBE, relaxed)
# * formation energy: -0.60 eV/atom
# * E_tot: -64.1 eV per cell
# * spin magnetization: 0.000 μB per formula unit
data_Pm6Sn6Pb
_chemical_formula_sum 'Pm6 Sn6 Pb1'
_cell_length_a 6.5553
_cell_length_b 6.5553
_cell_length_c 10.4750
_cell_angle_alpha 90.00
_cell_angle_beta 90.00
_cell_angle_gamma 120.00
_symmetry_space_group_name_H-M 'P 6/m m m'
_symmetry_Int_Tables_number 191
_symmetry_space_group_name_Hall '-P 6 2'
loop_
_atom_site_label
_atom_site_fract_x
_atom_site_fract_y
_atom_site_fract_z
Pm1 0.0000 0.0000 0.1954
Pm2 0.3333 0.6667 0.0000
Pm3 0.3333 0.6667 0.5000
Sn1 0.0000 0.5000 0.2484
Pb1 0.0000 0.0000 0.5000

---

Record 9
# NaSr6Cd2 (PBE, relaxed)
# * energy above the lowest structure with this stoichiometry: 0 meV per atom
# * formation energy: -0.14 eV/atom
# * E_tot: -58.1 eV per cell
# * spin magnetization: 0.000 μB per formula unit
data_NaSr6Cd2
_chemical_formula_sum 'Na4 Sr24 Cd8'
_cell_length_a 11.2988
_cell_length_b 11.3391
_cell_length_c 12.4736
_cell_angle_alpha 90.00
_cell_angle_beta 90.00
_cell_angle_gamma 90.00
_symmetry_space_group_name_H-M 'I m m m'
_symmetry_Int_Tables_number 71
_symmetry_space_group_name_Hall '-I 2 2'
loop_
_atom_site_label
_atom_site_fract_x
_atom_site_fract_y
_atom_site_fract_z
Na1 0.0000 0.0000 0.0000
Na2 0.0000 0.0000 0.5000
Sr1 0.0000 0.2076 0.2420
Sr2 0.1990 0.5000 0.1763
Sr3 0.2184 0.3132 0.5000
Cd1 0.0000 0.3506 0.0000
Cd2 0.0000 0.5000 0.3803

---

Record 10
# BaIn2Hg2 (PBE, relaxed)
# * formation energy: -0.38 eV/atom
# * E_tot: -19.8 eV per cell
# * spin magnetization: 0.000 μB per formula unit
data_BaIn2Hg2
_chemical_formula_sum 'Ba2 In4 Hg4'
_cell_length_a 4.8270
_cell_length_b 4.8270
_cell_length_c 12.8586
_cell_angle_alpha 90.00
_cell_angle_beta 90.00
_cell_angle_gamma 90.00
_symmetry_space_group_name_H-M 'I 4/m m m'
_symmetry_Int_Tables_number 139
_symmetry_space_group_name_Hall '-I 4 2'
loop_
_atom_site_label
_atom_site_fract_x
_atom_site_fract_y
_atom_site_fract_z
Ba1 0.0000 0.0000 0.0000
In1 0.0000 0.5000 0.2500
Hg1 0.0000 0.0000 0.3877

---

Record 11
# La6Ir3Rh2I (PBE, relaxed)
# * formation energy (no corrections): -0.71 eV per atom
# * E_tot: -161.8 eV per cell
# * spin magnetization: 0.000 μB per formula unit
data_La6Ir3Rh2I
_chemical_formula_sum 'La12 Ir6 Rh4 I2'
_cell_length_a 18.4024
_cell_length_b 4.2184
_cell_length_c 8.7048
_cell_angle_alpha 90.00
_cell_angle_beta 102.47
_cell_angle_gamma 90.00
_symmetry_space_group_name_H-M 'C 1 2/m 1'
_symmetry_Int_Tables_number 12
loop_
_symmetry_equiv_pos_as_xyz
'x,y,z'
'-x,-y,-z'
'-x,y,-z'
'x,-y,z'
'x+1/2,y+1/2,z'
'-x+1/2,-y+1/2,-z'
'-x+1/2,y+1/2,-z'
'x+1/2,-y+1/2,z'
loop_
_atom_site_label
_atom_site_fract_x
_atom_site_fract_y
_atom_site_fract_z
La1 0.0036 0.0000 0.2864
La2 0.1701 0.5000 0.5921
La3 0.1836 0.5000 0.0971
Ir1 0.0000 0.5000 0.5000
Ir2 0.1593 0.0000 0.8360
Rh1 0.1667 0.0000 0.3383
I1 0.0000 0.5000 0.0000

---

Record 12
# Mn2Fe2Hg (PBE, relaxed)
# * energy above the lowest structure with this stoichiometry: 0 meV per atom
# * formation energy: 0.43 eV/atom
# * E_tot: -66.8 eV per cell
# * spin magnetization: 0.001 μB per formula unit
data_Mn2Fe2Hg
_chemical_formula_sum 'Mn4 Fe4 Hg2'
_cell_length_a 6.9784
_cell_length_b 6.9784
_cell_length_c 2.5896
_cell_angle_alpha 90.00
_cell_angle_beta 90.00
_cell_angle_gamma 90.00
_symmetry_space_group_name_H-M 'P 4/m b m'
_symmetry_Int_Tables_number 127
_symmetry_space_group_name_Hall '-P 4 2ab'
loop_
_atom_site_label
_atom_site_fract_x
_atom_site_fract_y
_atom_site_fract_z
Mn1 0.1614 0.3386 0.0000
Fe1 0.1218 0.6218 0.5000
Hg1 0.0000 0.0000 0.5000

---

Record 13
# KMo2As (PBE, relaxed)
# * formation energy: 0.74 eV/atom
# * E_tot: -48.9 eV per cell
# * spin magnetization: 0.000 μB per formula unit
data_KMo2As
_chemical_formula_sum 'K2 Mo4 As2'
_cell_length_a 2.6849
_cell_length_b 5.2579
_cell_length_c 11.2180
_cell_angle_alpha 90.00
_cell_angle_beta 90.00
_cell_angle_gamma 90.00
_symmetry_space_group_name_H-M 'I m m m'
_symmetry_Int_Tables_number 71
_symmetry_space_group_name_Hall '-I 2 2'
loop_
_atom_site_label
_atom_site_fract_x
_atom_site_fract_y
_atom_site_fract_z
K1 0.0000 0.0000 0.0000
Mo1 0.0000 0.5000 0.2034
As1 0.0000 0.0000 0.5000

---

Record 14
# Sm8Dy5Sc (PBE, relaxed)
# * formation energy: 0.18 eV/atom
# * E_tot: -129.1 eV per cell
# * spin magnetization: 0.000 μB per formula unit
data_Sm8Dy5Sc
_chemical_formula_sum 'Sm16 Dy10 Sc2'
_cell_length_a 15.4183
_cell_length_b 8.3169
_cell_length_c 8.5137
_cell_angle_alpha 90.00
_cell_angle_beta 121.34
_cell_angle_gamma 90.00
_symmetry_space_group_name_H-M 'C 1 2 1'
_symmetry_Int_Tables_number 5
loop_
_symmetry_equiv_pos_as_xyz
'x,y,z'
'-x,y,-z'
'x+1/2,y+1/2,z'
'-x+1/2,y+1/2,-z'
loop_
_atom_site_label
_atom_site_fract_x
_atom_site_fract_y
_atom_site_fract_z
Sm1 0.1255 0.0000 0.1813
Sm2 0.1694 0.6015 0.2122
Sm3 0.1855 0.2924 0.9244
Sm4 0.1869 0.7827 0.5691
Dy1 0.0000 0.0494 0.5000
Dy2 0.0496 0.6976 0.7716
Dy3 0.1049 0.3790 0.4674
Sc1 0.0000 0.3376 0.0000

---

Record 15
# Na4CdGe (PBE, relaxed)
# * energy above the lowest structure with this stoichiometry: 0 meV per atom
# * formation energy: -0.01 eV/atom
# * E_tot: -43.6 eV per cell
# * spin magnetization: 0.000 μB per formula unit
data_Na4CdGe
_chemical_formula_sum 'Na16 Cd4 Ge4'
_cell_length_a 6.3125
_cell_length_b 17.9382
_cell_length_c 5.2592
_cell_angle_alpha 90.00
_cell_angle_beta 90.00
_cell_angle_gamma 90.00
_symmetry_space_group_name_H-M 'C m c m'
_symmetry_Int_Tables_number 63
_symmetry_space_group_name_Hall '-C 2c 2'
loop_
_atom_site_label
_atom_site_fract_x
_atom_site_fract_y
_atom_site_fract_z
Na1 0.2350 0.0415 0.2500
Na2 0.2447 0.2088 0.2500
Cd1 0.0000 0.3778 0.2500
Ge1 0.0000 0.1283 0.7500

---

Record 16
# Tb2DyCd4 (PBE, relaxed)
# * formation energy: -0.16 eV/atom
# * E_tot: -37.3 eV per cell
# * spin magnetization: 0.192 μB per formula unit
data_Tb2DyCd4
_chemical_formula_sum 'Tb4 Dy2 Cd8'
_cell_length_a 5.3272
_cell_length_b 5.3272
_cell_length_c 13.8544
_cell_angle_alpha 90.00
_cell_angle_beta 90.00
_cell_angle_gamma 90.00
_symmetry_space_group_name_H-M 'I 4/m m m'
_symmetry_Int_Tables_number 139
_symmetry_space_group_name_Hall '-I 4 2'
loop_
_atom_site_label
_atom_site_fract_x
_atom_site_fract_y
_atom_site_fract_z
Tb1 0.0000 0.0000 0.2409
Dy1 0.0000 0.0000 0.5000
Cd1 0.0000 0.5000 0.1141

---

Record 17
# KMnHgCl5 (PBE, relaxed)
# * formation energy (no corrections): -1.12 eV per atom
# * E_tot: -115.1 eV per cell
# * spin magnetization: 5.000 μB per formula unit
data_KMnHgCl5
_chemical_formula_sum 'K4 Mn4 Hg4 Cl20'
_cell_length_a 8.9430
_cell_length_b 12.1828
_cell_length_c 9.4103
_cell_angle_alpha 90.00
_cell_angle_beta 111.95
_cell_angle_gamma 90.00
_symmetry_space_group_name_H-M 'C 1 2/c 1'
_symmetry_Int_Tables_number 15
loop_
_symmetry_equiv_pos_as_xyz
'x,y,z'
'-x,-y,-z'
'-x,y,-z+1/2'
'x,-y,z+1/2'
'x+1/2,y+1/2,z'
'-x+1/2,-y+1/2,-z'
'-x+1/2,y+1/2,-z+1/2'
'x+1/2,-y+1/2,z+1/2'
loop_
_atom_site_label
_atom_site_fract_x
_atom_site_fract_y
_atom_site_fract_z
K1 0.0000 0.1516 0.2500
Mn1 0.0000 0.1842 0.7500
Hg1 0.0000 0.5000 0.0000
Cl1 0.0000 0.4158 0.2500
Cl2 0.1209 0.2926 0.6159
Cl3 0.1756 0.0667 0.9376

---

Record 18
# ZrPaFe (PBE, relaxed)
# * energy above the lowest structure with this stoichiometry: 0 meV per atom
# * formation energy: -0.20 eV/atom
# * E_tot: -108.4 eV per cell
# * spin magnetization: 0.000 μB per formula unit
data_ZrPaFe
_chemical_formula_sum 'Zr4 Pa4 Fe4'
_cell_length_a 6.7499
_cell_length_b 6.2950
_cell_length_c 5.4610
_cell_angle_alpha 90.00
_cell_angle_beta 90.00
_cell_angle_gamma 90.00
_symmetry_space_group_name_H-M 'P b c m'
_symmetry_Int_Tables_number 57
loop_
_symmetry_equiv_pos_as_xyz
'x,y,z'
'-x,-y,-z'
'-x,-y,z+1/2'
'x,y,-z+1/2'
'x,-y+1/2,-z'
'-x,y+1/2,z'
'-x,y+1/2,-z+1/2'
'x,-y+1/2,z+1/2'
loop_
_atom_site_label
_atom_site_fract_x
_atom_site_fract_y
_atom_site_fract_z
Zr1 0.0787 0.0875 0.2500
Pa1 0.3858 0.0546 0.7500
Fe1 0.2840 0.7500 0.0000

---

Record 19
# Al2CdFeW (PBE, relaxed)
# * formation energy: 0.56 eV/atom
# * E_tot: -27.0 eV per cell
# * spin magnetization: 0.011 μB per formula unit
data_Al2CdFeW
_chemical_formula_sum 'Al2 Cd1 Fe1 W1'
_cell_length_a 4.4675
_cell_length_b 4.4675
_cell_length_c 4.5537
_cell_angle_alpha 90.00
_cell_angle_beta 90.00
_cell_angle_gamma 90.00
_symmetry_space_group_name_H-M 'P 4/m m m'
_symmetry_Int_Tables_number 123
_symmetry_space_group_name_Hall '-P 4 2'
loop_
_atom_site_label
_atom_site_fract_x
_atom_site_fract_y
_atom_site_fract_z
Al1 0.0000 0.5000 0.0000
Cd1 0.0000 0.0000 0.5000
Fe1 0.5000 0.5000 0.0000
W1 0.5000 0.5000 0.5000

---

Record 20
# AlTe2Se (PBE, relaxed)
# * formation energy (no corrections): 0.09 eV per atom
# * E_tot: -13.1 eV per cell
# * spin magnetization: 0.000 μB per formula unit
data_AlTe2Se
_chemical_formula_sum 'Al1 Te2 Se1'
_cell_length_a 3.9800
_cell_length_b 3.9896
_cell_length_c 8.0272
_cell_angle_alpha 90.00
_cell_angle_beta 90.00
_cell_angle_gamma 90.00
_symmetry_space_group_name_H-M 'P m m m'
_symmetry_Int_Tables_number 47
loop_
_symmetry_equiv_pos_as_xyz
'x,y,z'
'-x,-y,-z'
'-x,-y,z'
'x,y,-z'
'x,-y,-z'
'-x,y,z'
'-x,y,-z'
'x,-y,z'
loop_
_atom_site_label
_atom_site_fract_x
_atom_site_fract_y
_atom_site_fract_z
Al1 0.0000 0.0000 0.0000
Te1 0.5000 0.0000 0.5000
Te2 0.5000 0.5000 0.0000
Se1 0.0000 0.5000 0.5000